[1]
# Cs2Tl2Hg (GGA-PBE, optimized geometry)
data_Cs2Tl2Hg
_space_group_name_H-M_alt 'C 1 2/m 1'
_space_group_IT_number 12
_space_group_name_Hall '-C 2y'
_cell_length_a 8.814
_cell_length_b 12.656
_cell_length_c 9.364
_cell_angle_alpha 90.00
_cell_angle_beta 110.93
_cell_angle_gamma 90.00
loop_
_atom_site_label
_atom_site_type_symbol
_atom_site_fract_x
_atom_site_fract_y
_atom_site_fract_z
Cs1 Cs 0.064 0.170 0.249
Tl1 Tl 0.169 0.500 0.963
Tl2 Tl 0.176 0.500 0.300
Hg1 Hg 0.000 0.379 0.500
# final energy: -1.459 eV/atom
# DOS at the Fermi energy: 0.65 states/eV per atom
# DFT formation energy: -0.1112 eV/atom
# energy above the most stable polymorph in this dataset: 0.05 eV per formula unit



[2]
# FeCoPt2 (GGA-PBE, optimized geometry)
data_FeCoPt2
_space_group_name_H-M_alt 'P 4 m m'
_space_group_IT_number 99
_space_group_name_Hall 'P 4 -2'
_cell_length_a 2.713
_cell_length_b 2.713
_cell_length_c 7.466
_cell_angle_alpha 90.00
_cell_angle_beta 90.00
_cell_angle_gamma 90.00
loop_
_atom_site_label
_atom_site_type_symbol
_atom_site_fract_x
_atom_site_fract_y
_atom_site_fract_z
Fe1 Fe 0.000 0.000 0.000
Co1 Co 0.500 0.500 0.780
Pt1 Pt 0.000 0.000 0.538
Pt2 Pt 0.500 0.500 0.249
# final energy: -7.019 eV/atom
# DOS at the Fermi energy: 1.10 states/eV per atom
# DFT formation energy: -0.1065 eV/atom



[3]
# CoGe (GGA-PBE, optimized geometry)
data_CoGe
_space_group_name_H-M_alt 'P 42/m n m'
_space_group_IT_number 136
_space_group_name_Hall '-P 4n 2n'
_cell_length_a 4.737
_cell_length_b 4.737
_cell_length_c 4.896
_cell_angle_alpha 90.00
_cell_angle_beta 90.00
_cell_angle_gamma 90.00
loop_
_atom_site_label
_atom_site_type_symbol
_atom_site_fract_x
_atom_site_fract_y
_atom_site_fract_z
Co1 Co 0.205 0.205 0.000
Ge1 Ge 0.207 0.207 0.500
# final energy: -5.685 eV/atom
# DOS at the Fermi energy: 0.88 states/eV per atom
# DFT formation energy: 0.1763 eV/atom



[4]
# AcDyTeO5 (GGA-PBE, optimized geometry)
data_AcDyTeO5
_space_group_name_H-M_alt 'C 1 2/c 1'
_space_group_IT_number 15
_space_group_name_Hall '-C 2yc'
_cell_length_a 8.075
_cell_length_b 9.497
_cell_length_c 8.160
_cell_angle_alpha 90.00
_cell_angle_beta 115.88
_cell_angle_gamma 90.00
loop_
_atom_site_label
_atom_site_type_symbol
_atom_site_fract_x
_atom_site_fract_y
_atom_site_fract_z
Ac1 Ac 0.000 0.059 0.250
Dy1 Dy 0.250 0.250 0.000
Te1 Te 0.000 0.464 0.250
O1 O 0.000 0.189 0.750
O2 O 0.042 0.322 0.106
O3 O 0.214 0.018 0.078
# formation energy (no corrections): -2.51 eV/atom
# final energy: -7.092 eV/atom
# DOS at the Fermi energy: 0.00 states/eV per atom



[5]
# LiEuHoCu (GGA-PBE, optimized geometry)
data_LiEuHoCu
_space_group_name_H-M_alt 'F -4 3 m'
_space_group_IT_number 216
_space_group_name_Hall 'F -4 2 3'
_cell_length_a 7.267
_cell_length_b 7.267
_cell_length_c 7.267
_cell_angle_alpha 90.00
_cell_angle_beta 90.00
_cell_angle_gamma 90.00
loop_
_atom_site_label
_atom_site_type_symbol
_atom_site_fract_x
_atom_site_fract_y
_atom_site_fract_z
Li1 Li 0.000 0.000 0.000
Eu1 Eu 0.250 0.250 0.250
Ho1 Ho 0.250 0.250 0.750
Cu1 Cu 0.000 0.000 0.500
# final energy: -5.187 eV/atom
# DOS at the Fermi energy: 1.67 states/eV per atom
# DFT formation energy: 0.0285 eV/atom



[6]
# MgTaIr2 (GGA-PBE, optimized geometry)
data_MgTaIr2
_space_group_name_H-M_alt 'P 4 m m'
_space_group_IT_number 99
_space_group_name_Hall 'P 4 -2'
_cell_length_a 2.816
_cell_length_b 2.816
_cell_length_c 8.280
_cell_angle_alpha 90.00
_cell_angle_beta 90.00
_cell_angle_gamma 90.00
loop_
_atom_site_label
_atom_site_type_symbol
_atom_site_fract_x
_atom_site_fract_y
_atom_site_fract_z
Mg1 Mg 0.000 0.000 0.000
Ta1 Ta 0.500 0.500 0.300
Ir1 Ir 0.000 0.000 0.539
Ir2 Ir 0.500 0.500 0.768
# final energy: -7.835 eV/atom
# DOS at the Fermi energy: 1.17 states/eV per atom
# DFT formation energy: -0.0429 eV/atom
# energy above the most stable polymorph in this dataset: 2.25 eV per formula unit



[7]
# PuMn3Ga9 (GGA-PBE, optimized geometry)
data_PuMn3Ga9
_space_group_name_H-M_alt 'C 1 2/m 1'
_space_group_IT_number 12
_space_group_name_Hall '-C 2y'
_cell_length_a 5.161
_cell_length_b 12.915
_cell_length_c 6.697
_cell_angle_alpha 90.00
_cell_angle_beta 110.36
_cell_angle_gamma 90.00
loop_
_atom_site_label
_atom_site_type_symbol
_atom_site_fract_x
_atom_site_fract_y
_atom_site_fract_z
Pu1 Pu 0.000 0.000 0.000
Mn1 Mn 0.000 0.500 0.500
Mn2 Mn 0.250 0.250 0.000
Ga1 Ga 0.000 0.000 0.500
Ga2 Ga 0.095 0.386 0.217
Ga3 Ga 0.167 0.176 0.332
# final energy: -5.465 eV/atom
# DOS at the Fermi energy: 1.14 states/eV per atom
# DFT formation energy: -0.1506 eV/atom



[8]
# Rb2ReSnSb (GGA-PBE, optimized geometry)
data_Rb2ReSnSb
_space_group_name_H-M_alt 'P 4/m m m'
_space_group_IT_number 123
_space_group_name_Hall '-P 4 2'
_cell_length_a 6.879
_cell_length_b 6.879
_cell_length_c 5.045
_cell_angle_alpha 90.00
_cell_angle_beta 90.00
_cell_angle_gamma 90.00
loop_
_atom_site_label
_atom_site_type_symbol
_atom_site_fract_x
_atom_site_fract_y
_atom_site_fract_z
Rb1 Rb 0.000 0.500 0.000
Re1 Re 0.000 0.000 0.500
Sn1 Sn 0.500 0.500 0.500
Sb1 Sb 0.000 0.000 0.000
# formation energy (no corrections): 0.98 eV/atom
# final energy: -3.518 eV/atom
# DOS at the Fermi energy: 0.65 states/eV per atom



> Look up the DOS at the Fermi energy of the eighth one.

0.65 states/eV per atom



> What is the DOS at the Fermi energy in the seventh record?

1.14 states/eV per atom



> DOS at the Fermi energy of number 6 (MgTaIr2)?

1.17 states/eV per atom